[1]
The following is a SCAN calculation of a PBEsol-optimized structure of KHfRh3, from Alexandria via LeMat-Bulk.

The structure in CIF format:
```
data_KHfRh3
_space_group_name_H-M_alt 'P m -3 m'
_space_group_IT_number 221
_space_group_name_Hall '-P 4 2 3'
_cell_length_a 4.509
_cell_length_b 4.509
_cell_length_c 4.509
_cell_angle_alpha 90.00
_cell_angle_beta 90.00
_cell_angle_gamma 90.00
loop_
_atom_site_label
_atom_site_type_symbol
_atom_site_fract_x
_atom_site_fract_y
_atom_site_fract_z
_atom_site_occupancy
K1 K 0.000 0.000 0.000 1
Hf1 Hf 0.500 0.500 0.500 1
Rh1 Rh 0.000 0.000 0.500 1
```

## Properties
formation energy: 1812.7 meV per atom

[2]
The following is a SCAN calculation of a PBEsol-optimized structure of KHf2Rh, from Alexandria via LeMat-Bulk.

The structure in CIF format:
```
data_KHf2Rh
_space_group_name_H-M_alt 'F m -3 m'
_space_group_IT_number 225
_space_group_name_Hall '-F 4 2 3'
_cell_length_a 6.765
_cell_length_b 6.765
_cell_length_c 6.765
_cell_angle_alpha 90.00
_cell_angle_beta 90.00
_cell_angle_gamma 90.00
loop_
_atom_site_label
_atom_site_type_symbol
_atom_site_fract_x
_atom_site_fract_y
_atom_site_fract_z
_atom_site_occupancy
K1 K 0.000 0.000 0.000 1
Hf1 Hf 0.250 0.250 0.250 1
Rh1 Rh 0.000 0.000 0.500 1
```

## Properties
formation energy: 457.9 meV per atom

[3]
The following is a SCAN calculation of a PBEsol-optimized structure of KHf3Ru, from Alexandria via LeMat-Bulk.

The structure in CIF format:
```
data_KHf3Ru
_space_group_name_H-M_alt 'P m -3 m'
_space_group_IT_number 221
_space_group_name_Hall '-P 4 2 3'
_cell_length_a 4.626
_cell_length_b 4.626
_cell_length_c 4.626
_cell_angle_alpha 90.00
_cell_angle_beta 90.00
_cell_angle_gamma 90.00
loop_
_atom_site_label
_atom_site_type_symbol
_atom_site_fract_x
_atom_site_fract_y
_atom_site_fract_z
_atom_site_occupancy
K1 K 0.000 0.000 0.000 1
Hf1 Hf 0.000 0.000 0.500 1
Ru1 Ru 0.500 0.500 0.500 1
```

## Properties
formation energy: 2375.4 meV per atom

[4]
The following is a SCAN calculation of a PBEsol-optimized structure of KHfRu2, from Alexandria via LeMat-Bulk.

The structure in CIF format:
```
data_KHfRu2
_space_group_name_H-M_alt 'F m -3 m'
_space_group_IT_number 225
_space_group_name_Hall '-F 4 2 3'
_cell_length_a 6.532
_cell_length_b 6.532
_cell_length_c 6.532
_cell_angle_alpha 90.00
_cell_angle_beta 90.00
_cell_angle_gamma 90.00
loop_
_atom_site_label
_atom_site_type_symbol
_atom_site_fract_x
_atom_site_fract_y
_atom_site_fract_z
_atom_site_occupancy
K1 K 0.000 0.000 0.000 1
Hf1 Hf 0.000 0.000 0.500 1
Ru1 Ru 0.250 0.250 0.250 1
```

## Properties
formation energy: 776.0 meV per atom

[5]
The following is a SCAN calculation of a PBEsol-optimized structure of K2HfS, from Alexandria via LeMat-Bulk.

The structure in CIF format:
```
data_K2HfS
_space_group_name_H-M_alt 'I -4 2 d'
_space_group_IT_number 122
_space_group_name_Hall 'I -4 2bw'
_cell_length_a 11.696
_cell_length_b 11.696
_cell_length_c 4.821
_cell_angle_alpha 90.00
_cell_angle_beta 90.00
_cell_angle_gamma 90.00
loop_
_atom_site_label
_atom_site_type_symbol
_atom_site_fract_x
_atom_site_fract_y
_atom_site_fract_z
_atom_site_occupancy
K1 K 0.100 0.250 0.125 1
Hf1 Hf 0.000 0.000 0.500 1
S1 S 0.000 0.000 0.000 1
```

## Properties
energy relative to the elements, uncorrected: -34 kJ/mol of formula units

[6]
The following is a SCAN calculation of a PBEsol-optimized structure of K3HfS, from Alexandria via LeMat-Bulk.

The structure in CIF format:
```
data_K3HfS
_space_group_name_H-M_alt 'P m -3 m'
_space_group_IT_number 221
_space_group_name_Hall '-P 4 2 3'
_cell_length_a 5.979
_cell_length_b 5.979
_cell_length_c 5.979
_cell_angle_alpha 90.00
_cell_angle_beta 90.00
_cell_angle_gamma 90.00
loop_
_atom_site_label
_atom_site_type_symbol
_atom_site_fract_x
_atom_site_fract_y
_atom_site_fract_z
_atom_site_occupancy
K1 K 0.000 0.000 0.500 1
Hf1 Hf 0.500 0.500 0.500 1
S1 S 0.000 0.000 0.000 1
```

## Properties
energy relative to the elements, uncorrected: 201 kJ/mol of formula units

| no. | E_tot (eV per cell) |
| --- | --- |
| 1 | -163.25 |
| 2 | -662.46 |
| 3 | -219.30 |
| 4 | -550.20 |
| 5 | -357.24 |
| 6 | -95.20 |